Entry from Alexandria: a geometry-optimized Ho7AlIn5 structure (PBE).

**ΔH_f (0 K)**: -2.64 eV per formula unit
**Magnetic moment**: 0.0000 μB per atom
**E_tot**: -52.1 eV per formula unit

a = 6.3422 Å, b = 8.1845 Å, c = 8.1845 Å
α = 80.65°, β = 67.20°, γ = 67.20°
Last column: nearest neighbours and their distance in Å.
Positions (direct):
Ho  0.5996  0.4004  0.4004  1 Al 3.43, 4 In 3.50, 4 Ho 3.64-3.70
Ho  0.2119  0.7881  0.7881  1 Al 3.15, 6 In 3.28
Ho  0.0204  0.2914  0.6678  5 In 3.16-3.22, 1 Ho 3.41, 1 Al 3.48
Ho  0.0204  0.6678  0.2914  5 In 3.16-3.22, 1 Ho 3.41, 1 Al 3.48
Ho  0.2777  0.2223  0.2223  4 In 3.02, 2 Ho 3.25
Ho  0.5339  0.8036  0.1287  5 In 3.17-3.34, 4 Ho 3.25-3.55
Ho  0.5339  0.1287  0.8036  5 In 3.17-3.34, 4 Ho 3.25-3.55
Al  0.9186  0.0814  0.0814  6 Ho 3.15-3.51, 4 In 3.35
In  0.5324  0.9871  0.4657  6 Ho 3.02-3.34, 3 In 3.06-3.28, 1 Al 3.35
In  0.0148  0.9871  0.4657  6 Ho 3.02-3.34, 3 In 3.06-3.28, 1 Al 3.35
In  0.5324  0.4657  0.9871  6 Ho 3.02-3.34, 3 In 3.06-3.28, 1 Al 3.35
In  0.0148  0.4657  0.9871  6 Ho 3.02-3.34, 3 In 3.06-3.28, 1 Al 3.35
In  0.7892  0.7108  0.7108  4 In 3.16, 6 Ho 3.19-3.28